Here is a relaxed YScHg2 crystal from the Alexandria database. Energies are from PBE-GGA.

Values from the calculation:
- DOS at the Fermi energy: 0.975 states/eV per atom
- Crystal system: orthorhombic
- Formation energy from the elements: -0.4462 eV per atom
- Energy relative to the lowest polymorph listed for this composition: 0.019 eV per atom
- Space-group type: Pmm2, No. 25
- Density: 9.3 g/cm3

Structure (POSCAR):
```
YScHg2
1.0
3.696 0.000 0.000
0.000 5.092 0.000
0.000 0.000 5.092
Y Sc Hg
1 1 2
Direct
0.000 0.000 0.000
0.000 0.500 0.499
0.500 0.000 0.500
0.500 0.500 0.999
```

Here is a relaxed In2Pd7Au3 crystal from the Alexandria database. Energies are from PBE-GGA.

Values from the calculation:
- DOS at the Fermi energy: 0.464 states/eV per atom
- Crystal system: orthorhombic
- Formation energy from the elements: -0.1496 eV per atom
- Energy relative to the lowest polymorph listed for this composition: 0.000 eV per atom
- Space-group type: Cmmm, No. 65
- Density: 11.7 g/cm3

Structure (POSCAR):
```
In2Pd7Au3
1.0
2.302 -10.586 0.000
2.302 10.586 0.000
0.000 0.000 4.577
In Pd Au
2 7 3
Direct
0.149 0.851 0.000
0.851 0.149 0.000
0.000 0.000 0.000
0.074 0.926 0.500
0.282 0.718 0.000
0.424 0.576 0.000
0.576 0.424 0.000
0.718 0.282 0.000
0.926 0.074 0.500
0.349 0.651 0.500
0.500 0.500 0.500
0.651 0.349 0.500
```